Record 1
# GGA-PBE Er3Ta5H12, optimized geometry
# Mass density, g/cm3: 11.68
# Density of states at the Fermi level, states/eV/f.u.: 9.2
# E, eV per atom: -5.9157
data_Er3Ta5H12
_chemical_formula_sum 'Er24 Ta40 H96'
_cell_length_a 11.730
_cell_length_b 11.730
_cell_length_c 11.730
_cell_angle_alpha 90.00
_cell_angle_beta 90.00
_cell_angle_gamma 90.00
_symmetry_space_group_name_H-M 'I a -3 d'
_symmetry_Int_Tables_number 230
_symmetry_space_group_name_Hall '-I 4bd 2c 3'
loop_
_atom_site_label
_atom_site_fract_x
_atom_site_fract_y
_atom_site_fract_z
_atom_site_occupancy
Er1 0.000 0.250 0.125 1
Ta1 0.000 0.000 0.000 1
Ta2 0.000 0.250 0.375 1
H1 0.013 0.066 0.649 1



Record 2
# GGA-PBE Er2TaH, optimized geometry
# Mass density, g/cm3: 11.21
# Density of states at the Fermi level, states/eV/f.u.: 3.9
# E, eV per atom: -5.7099
data_Er2TaH
_chemical_formula_sum 'Er6 Ta3 H3'
_cell_length_a 3.1675
_cell_length_b 3.1675
_cell_length_c 26.4172
_cell_angle_alpha 90.00
_cell_angle_beta 90.00
_cell_angle_gamma 120.00
_symmetry_space_group_name_H-M 'R -3 m'
_symmetry_Int_Tables_number 166
_symmetry_space_group_name_Hall '-R 3 2"'
loop_
_atom_site_label
_atom_site_fract_x
_atom_site_fract_y
_atom_site_fract_z
_atom_site_occupancy
Er1 0.0000 0.0000 0.1120 1
Ta1 0.0000 0.0000 0.0000 1
H1 0.0000 0.0000 0.5000 1



Record 3
# GGA-PBE TbEr2H8, optimized geometry
# Mass density, g/cm3: 8.34
# Density of states at the Fermi level, states/eV/f.u.: 1.0
# E, eV per atom: -4.3152
data_TbEr2H8
_chemical_formula_sum 'Tb2 Er4 H16'
_cell_length_a 3.605
_cell_length_b 5.119
_cell_length_c 10.822
_cell_angle_alpha 90.00
_cell_angle_beta 90.00
_cell_angle_gamma 90.00
_symmetry_space_group_name_H-M 'I m m m'
_symmetry_Int_Tables_number 71
_symmetry_space_group_name_Hall '-I 2 2'
loop_
_atom_site_label
_atom_site_fract_x
_atom_site_fract_y
_atom_site_fract_z
_atom_site_occupancy
Tb1 0.000 0.000 0.000 1
Er1 0.000 0.000 0.331 1
H1 0.000 0.224 0.500 1
H2 0.000 0.262 0.163 1
H3 0.000 0.500 0.343 1



Q: E of number 1 (Er3Ta5H12)?
A: -5.9157 eV per atom



Q: The lowest density of states at the Fermi level belongs to which entry?
A: TbEr2H8



Q: Look up the density of states at the Fermi level of the third one.
A: 1.0 states/eV/f.u.



Q: Among the records above, which one has the highest E?
A: TbEr2H8